Density functional theory data (PBE) for a relaxed structure of AgGeB.

```
AgGeB
1.0
6.2457 0.0253 0.0311
4.8552 4.7389 0.0254
0.3983 -3.6947 3.2085
B Ge Ag
2 2 2
direct
0.4650 0.4230 0.0046
0.6608 0.2737 0.2007
0.3102 0.7643 0.8493
0.8157 0.9324 0.3560
0.6633 0.6344 0.1928
0.4624 0.0624 0.0128
```

Calculated values
Magnetization (μB per cell): 0.00
DFT total energy (eV/atom): -4.38
Formation energy from the elements (eV/atom): 0.340
DOS at the Fermi energy (states/eV/cell): 1.21